VASP calculation (PBEsol) on a geometry-optimized LiMg2NiCl structure.

## Properties
**ΔE_f (raw)**: 0.391 eV per atom
**SG**: No. 123

a = 5.1365 Å, b = 5.1365 Å, c = 3.9432 Å
α = 90.00°, β = 90.00°, γ = 90.00°
Sites, in units of the cell vectors:
Li 0.0000 0.0000 0.0000
Mg 0.0000 0.5000 0.0000
Mg 0.5000 0.0000 0.0000
Ni 0.5000 0.5000 0.5000
Cl 0.0000 0.0000 0.5000